VASP calculation (PBE-GGA) on a relaxed structure of Sr4GaHg.

Unit cell a=4.011 b=4.011 c=14.307 alpha=90.00 beta=90.00 gamma=90.00
Positions (direct):
Sr 0.500 0.500 0.872
Sr 0.500 0.500 0.128
Sr 0.000 0.000 0.636
Sr 0.000 0.000 0.364
Ga 0.000 0.000 0.000
Hg 0.500 0.500 0.500

Computed properties:
Magnetization = 0.00 μB/cell
Energy above the most stable polymorph in this dataset = 0 meV per atom
Space group = No. 123
DFT formation energy = -0.329 eV/atom
Total energy = -12.03 eV/cell